[1]
# BeCu2Pt2 | the Alexandria database | PBE | relaxed
# Fermi-level density of states in states/eV/f.u.: 2.16
# Energy relative to the elements in eV per atom: 0.127
# Energy above the most stable polymorph in this dataset in eV/atom: 0.538
# VASP energy in eV per atom: -4.673
data_BeCu2Pt2
_symmetry_space_group_name_H-M 'P 4/m b m'
_symmetry_Int_Tables_number 127
_symmetry_space_group_name_Hall '-P 4 2ab'
_cell_length_a 6.769
_cell_length_b 6.769
_cell_length_c 3.050
_cell_angle_alpha 90.00
_cell_angle_beta 90.00
_cell_angle_gamma 90.00
loop_
_atom_site_label
_atom_site_type_symbol
_atom_site_fract_x
_atom_site_fract_y
_atom_site_fract_z
Be1 Be 0.000 0.000 0.000
Cu1 Cu 0.130 0.370 0.000
Pt1 Pt 0.170 0.670 0.500



[2]
# CeErTmCd | the Alexandria database | PBE | relaxed
# Fermi-level density of states in states/eV/f.u.: 7.11
# Energy relative to the elements in eV per atom: 0.010
# VASP energy in eV per atom: -3.961
data_CeErTmCd
_symmetry_space_group_name_H-M 'F -4 3 m'
_symmetry_Int_Tables_number 216
_symmetry_space_group_name_Hall 'F -4 2 3'
_cell_length_a 7.656
_cell_length_b 7.656
_cell_length_c 7.656
_cell_angle_alpha 90.00
_cell_angle_beta 90.00
_cell_angle_gamma 90.00
loop_
_atom_site_label
_atom_site_type_symbol
_atom_site_fract_x
_atom_site_fract_y
_atom_site_fract_z
Ce1 Ce 0.000 0.000 0.000
Er1 Er 0.000 0.000 0.500
Tm1 Tm 0.250 0.250 0.250
Cd1 Cd 0.250 0.250 0.750



[3]
# TlGa2H6 | the Alexandria database | PBE | relaxed
# Fermi-level density of states in states/eV/f.u.: 3.10
# VASP energy in eV per atom: -2.414
data_TlGa2H6
_symmetry_space_group_name_H-M 'F m -3 m'
_symmetry_Int_Tables_number 225
_symmetry_space_group_name_Hall '-F 4 2 3'
_cell_length_a 7.639
_cell_length_b 7.639
_cell_length_c 7.639
_cell_angle_alpha 90.00
_cell_angle_beta 90.00
_cell_angle_gamma 90.00
loop_
_atom_site_label
_atom_site_type_symbol
_atom_site_fract_x
_atom_site_fract_y
_atom_site_fract_z
Tl1 Tl 0.000 0.000 0.000
Ga1 Ga 0.250 0.250 0.250
H1 H 0.000 0.000 0.257



[4]
# LaSnAu | the Alexandria database | PBE | relaxed
# Fermi-level density of states in states/eV/f.u.: 0.91
# Energy relative to the elements in eV per atom: -0.825
# VASP energy in eV per atom: -4.894
data_LaSnAu
_symmetry_space_group_name_H-M 'C 1 m 1'
_symmetry_Int_Tables_number 8
_cell_length_a 8.336
_cell_length_b 4.814
_cell_length_c 8.740
_cell_angle_alpha 90.00
_cell_angle_beta 108.48
_cell_angle_gamma 90.00
loop_
_symmetry_equiv_pos_as_xyz
'x,y,z'
'x,-y,z'
'x+1/2,y+1/2,z'
'x+1/2,-y+1/2,z'
loop_
_atom_site_label
_atom_site_type_symbol
_atom_site_fract_x
_atom_site_fract_y
_atom_site_fract_z
La1 La 0.000 0.000 0.000
La2 La 0.163 0.000 0.490
Sn1 Sn 0.079 0.500 0.735
Sn2 Sn 0.409 0.000 0.228
Au1 Au 0.255 0.500 0.266
Au2 Au 0.286 0.000 0.857